Record 1
KCdIn5 (PBE, optimized geometry); E = -16.0 eV/cell; magnetic moment = 0.000 Bohr magnetons per cell; ΔE_f = -0.041 eV per atom
1.0
4.6003 0.0000 0.0000
0.0000 4.6003 0.0000
0.0000 0.0000 10.5523
K Cd In
1 1 5
Cartesian
0.0000 0.0000 0.0000
0.0000 0.0000 5.2761
0.0000 2.3002 2.9638
0.0000 2.3002 7.5884
2.3002 0.0000 2.9638
2.3002 0.0000 7.5884
2.3002 2.3002 5.2761

***

Record 2
Rb2YGeF6 (PBE, optimized geometry); E = -52.9 eV/cell; magnetic moment = 1.000 Bohr magnetons per cell; formation energy from raw total energies = -28.66 eV/f.u.
1.0
-3.1308 3.1308 5.6274
3.1308 -3.1308 5.6274
3.1308 3.1308 -5.6274
Rb Y Ge F
2 1 1 6
Cartesian
3.1308 0.0000 2.8137
0.0000 3.1308 2.8137
0.0000 0.0000 0.0000
0.0000 0.0000 5.6274
0.0000 0.0000 2.1757
1.5451 1.5451 0.0000
1.5857 -1.5857 5.6274
-1.5857 1.5857 5.6274
1.5857 1.5857 5.6274
0.0000 0.0000 9.0790

***

Record 3
Ac4CoHBr2 (PBE, optimized geometry); E = -36.1 eV/cell; magnetic moment = 0.034 Bohr magnetons per cell
1.0
7.1124 0.0000 0.0000
0.0000 4.1864 0.0000
-2.3328 0.0000 8.2229
Ac Co H Br
4 1 1 2
Cartesian
1.2391 0.0000 1.5372
0.0054 2.0932 6.5880
4.7741 2.0932 1.6349
3.5405 0.0000 6.6856
0.0000 2.0932 0.0000
3.5562 0.0000 0.0000
-1.1664 0.0000 4.1114
2.3898 2.0932 4.1114

***

Record 4
Sc2ReSb (PBE, optimized geometry); E = -114.0 eV/cell; magnetic moment = 0.000 Bohr magnetons per cell; formation energy from raw total energies = 0.74 eV/f.u.
1.0
7.8401 0.0000 0.0000
0.0000 7.8401 0.0000
0.0000 0.0000 5.6454
Sc Re Sb
8 4 4
Cartesian
1.5133 1.9600 0.7057
1.9600 5.4333 2.1170
1.9600 6.3269 4.9397
2.4068 1.9600 3.5284
5.4333 5.8801 3.5284
5.8801 1.5133 4.9397
5.8801 2.4068 2.1170
6.3269 5.8801 0.7057
0.0000 0.0000 0.0000
0.0000 3.9201 1.4113
3.9201 0.0000 4.2340
3.9201 3.9201 2.8227
0.0000 0.0000 2.8227
0.0000 3.9201 4.2340
3.9201 0.0000 1.4113
3.9201 3.9201 0.0000

***

Record 5
SrSiMo2 (PBE, optimized geometry); E = -50.1 eV/cell; magnetic moment = 0.000 Bohr magnetons per cell; formation energy from raw total energies = 3.72 eV/f.u.
1.0
4.0743 0.0000 0.0000
0.0000 4.0743 0.0000
0.0000 0.0000 9.1983
Sr Si Mo
2 2 4
Cartesian
0.0000 0.0000 0.0000
2.0372 2.0372 4.5991
0.0000 0.0000 4.5991
2.0372 2.0372 0.0000
0.0000 2.0372 2.2996
0.0000 2.0372 6.8987
2.0372 0.0000 2.2996
2.0372 0.0000 6.8987

***

Record 6
Ce6As3SeS2 (PBE, optimized geometry); E = -81.7 eV/cell; magnetic moment = 4.862 Bohr magnetons per cell; formation energy from raw total energies = -20.38 eV/f.u.
1.0
9.0416 -2.0815 0.0000
9.0416 2.0815 0.0000
-1.8505 0.0000 8.0913
Ce As Se S
6 3 1 2
Cartesian
-0.4202 0.0000 2.0573
5.2134 0.0000 3.4080
4.3134 0.0000 7.3613
11.9194 0.0000 0.7300
11.0194 0.0000 4.6833
16.6530 0.0000 6.0340
1.4453 0.0000 6.7387
8.1164 0.0000 4.0457
14.7875 0.0000 1.3526
9.0416 0.0000 0.0000
2.4080 0.0000 2.7028
13.8248 0.0000 5.3885

***

Record 7
CaReAs (PBE, optimized geometry); E = -38.8 eV/cell; magnetic moment = 0.000 Bohr magnetons per cell; ΔE_f = -0.105 eV per atom; energy relative to the lowest polymorph listed for this composition = 0.0 meV/atom
1.0
3.2818 0.0000 0.0000
0.0000 3.2818 0.0000
0.0000 0.0000 10.8741
Ca Re As
2 2 2
Cartesian
0.0000 0.0000 0.0000
1.6409 1.6409 5.4370
0.0000 0.0000 7.6110
1.6409 1.6409 2.1739
0.0000 0.0000 3.2193
1.6409 1.6409 8.6563

***

Record 8
PrClF (PBE, optimized geometry); E = -32.7 eV/cell; magnetic moment = 1.896 Bohr magnetons per cell; energy relative to the lowest polymorph listed for this composition = 18.7 meV/atom; formation energy from raw total energies = -7.86 eV/f.u.
1.0
4.1464 0.0000 0.0000
-2.0732 3.5909 0.0000
0.0000 0.0000 9.4522
Pr Cl F
2 2 2
Cartesian
0.0000 2.3940 0.0000
2.0732 1.1970 4.7261
0.0000 2.3940 6.5210
2.0732 1.1970 1.7949
0.0000 0.0000 4.3668
0.0000 0.0000 9.0929

***

Record 9
BTeOsN2 (PBE, optimized geometry); E = -27.9 eV/cell; magnetic moment = 2.528 Bohr magnetons per cell; energy relative to the lowest polymorph listed for this composition = 774.6 meV/atom; formation energy from raw total energies = 9.79 eV/f.u.
1.0
3.5798 0.0000 0.0000
0.0000 3.5798 0.0000
0.0000 0.0000 5.0222
B Te Os N
1 1 1 2
Cartesian
0.0000 0.0000 0.0000
1.7899 1.7899 2.5111
0.0000 0.0000 2.5111
0.0000 1.7899 0.0000
1.7899 0.0000 0.0000

***

Record 10
Br2Cl (PBE, optimized geometry); E = -3.5 eV/cell; magnetic moment = 0.000 Bohr magnetons per cell; energy relative to the lowest polymorph listed for this composition = 512.3 meV/atom; formation energy from raw total energies = 1.67 eV/f.u.
1.0
4.8157 0.0000 0.0000
-2.4078 4.1705 0.0000
0.0000 0.0000 4.1533
Br Cl
2 1
Cartesian
0.0000 2.7803 0.0000
2.4078 1.3902 0.0000
0.0000 0.0000 2.0766

***

Record 11
Hg2BMoSe (PBE, optimized geometry); E = -13.4 eV/cell; magnetic moment = 4.377 Bohr magnetons per cell; formation energy from raw total energies = 8.15 eV/f.u.
1.0
5.8749 0.0000 0.0000
0.0000 5.8749 0.0000
0.0000 0.0000 3.8072
Hg B Mo Se
2 1 1 1
Cartesian
0.0000 2.9374 0.0000
2.9374 0.0000 0.0000
0.0000 0.0000 1.9036
2.9374 2.9374 1.9036
0.0000 0.0000 0.0000

***

Record 12
Ac4Si6Rh7 (PBE, optimized geometry); E = -113.8 eV/cell; magnetic moment = 0.000 Bohr magnetons per cell; formation energy from raw total energies = -13.41 eV/f.u.
1.0
-4.3925 4.3925 4.3925
4.3925 -4.3925 4.3925
4.3925 4.3925 -4.3925
Ac Si Rh
4 6 7
Cartesian
2.1962 2.1962 -2.1962
2.1962 -2.1962 2.1962
-2.1962 2.1962 2.1962
2.1962 2.1962 2.1962
3.1043 0.0000 0.0000
5.6806 0.0000 0.0000
0.0000 3.1043 0.0000
0.0000 0.0000 3.1043
0.0000 5.6806 0.0000
0.0000 0.0000 5.6806
0.0000 0.0000 0.0000
4.3925 2.1962 0.0000
4.3925 0.0000 2.1962
2.1962 4.3925 0.0000
2.1962 0.0000 4.3925
0.0000 4.3925 2.1962
0.0000 2.1962 4.3925

***

Record 13
Nb3MoPd (PBE, optimized geometry); E = -38.3 eV/cell; magnetic moment = 0.000 Bohr magnetons per cell; ΔE_f = 1.586 eV per atom; energy relative to the lowest polymorph listed for this composition = 350.9 meV/atom
1.0
4.7838 0.0000 0.0000
0.0000 4.7838 0.0000
0.0000 0.0000 4.7838
Nb Mo Pd
3 1 1
Cartesian
0.0000 0.0000 2.3919
0.0000 2.3919 0.0000
2.3919 0.0000 0.0000
2.3919 2.3919 2.3919
0.0000 0.0000 0.0000

***

Record 14
Ce8POs3I4 (PBE, optimized geometry); E = -104.8 eV/cell; magnetic moment = 6.607 Bohr magnetons per cell; formation energy from raw total energies = -12.05 eV/f.u.
1.0
4.1663 2.4054 7.8411
-4.1663 2.4054 7.8411
0.0000 -4.8108 7.8411
Ce P Os I
8 1 3 4
Cartesian
-2.1314 -1.2305 13.2171
0.0000 0.0000 5.3878
0.0000 -2.4611 10.3061
-2.1314 1.2305 10.3061
2.1314 -1.2305 13.2171
0.0000 2.4611 13.2171
0.0000 0.0000 18.1354
2.1314 1.2305 10.3061
0.0000 0.0000 11.7616
-4.1662 0.0000 11.7616
-2.0831 1.2027 3.9205
2.0831 1.2027 3.9205
0.0000 0.0000 0.0000
-2.0831 -1.2027 7.8411
-2.0831 1.2027 15.6821
0.0000 2.4054 7.8410

***

Record 15
Mg2PbI2 (PBE, optimized geometry); E = -22.3 eV/cell; magnetic moment = 0.000 Bohr magnetons per cell; energy relative to the lowest polymorph listed for this composition = 0.0 meV/atom; formation energy from raw total energies = -1.17 eV/f.u.
1.0
8.3620 0.0000 0.0000
0.0000 8.3620 0.0000
0.0000 0.0000 5.5082
Mg Pb I
4 2 4
Cartesian
2.0362 2.1448 0.0000
2.1448 6.3258 0.0000
6.2172 2.0362 0.0000
6.3258 6.2172 0.0000
0.0000 0.0000 0.0000
4.1810 4.1810 0.0000
1.4413 2.7397 2.7541
2.7397 6.9207 2.7541
5.6223 1.4413 2.7541
6.9207 5.6223 2.7541

***

Record 16
BiS2Cl (PBE, optimized geometry); E = -43.4 eV/cell; magnetic moment = 0.000 Bohr magnetons per cell; energy relative to the lowest polymorph listed for this composition = 0.0 meV/atom; formation energy from raw total energies = -0.49 eV/f.u.
1.0
4.2360 0.0000 0.0000
-2.1180 3.6685 0.0000
0.0000 0.0000 22.7799
Bi S Cl
3 6 3
Cartesian
0.0000 0.0000 0.0000
0.0000 2.4457 15.1866
2.1180 1.2228 7.5933
0.0000 0.0000 9.0537
0.0000 0.0000 13.7262
0.0000 2.4457 1.4604
0.0000 2.4457 6.1329
2.1180 1.2228 16.6470
2.1180 1.2228 21.3195
0.0000 0.0000 11.3900
0.0000 2.4457 3.7967
2.1180 1.2228 18.9833

***

Record 17
Na3ZnH4 (PBE, optimized geometry); E = -38.6 eV/cell; magnetic moment = 0.000 Bohr magnetons per cell
1.0
6.9138 0.0000 0.0000
0.0000 7.9104 0.0000
0.0000 0.0000 4.9900
Na Zn H
6 2 8
Cartesian
0.0000 0.8911 0.0000
1.6581 5.4077 4.9434
1.7988 2.5027 2.4484
3.4569 7.0193 2.4950
5.1150 2.5027 2.4484
5.2557 5.4077 4.9434
0.0000 7.0866 2.5472
3.4569 0.8238 0.0522
0.0000 0.8976 2.3448
0.0000 6.7461 4.1706
1.3720 6.4672 1.9106
2.0850 1.4432 4.4056
3.4569 1.1642 1.6756
3.4569 7.0128 4.8397
4.8289 1.4432 4.4056
5.5419 6.4672 1.9106

***

Record 18
ZrTlN2 (PBE, optimized geometry); E = -115.6 eV/cell; magnetic moment = 0.000 Bohr magnetons per cell; energy relative to the lowest polymorph listed for this composition = 10.1 meV/atom; formation energy from raw total energies = -1.33 eV/f.u.
1.0
5.4478 0.0000 0.0000
0.0000 5.4478 0.0000
0.0000 0.0000 9.9428
Zr Tl N
4 4 8
Cartesian
0.0000 0.0000 0.0000
0.0000 2.7239 2.4857
2.7239 0.0000 7.4571
2.7239 2.7239 4.9714
0.0000 0.0000 4.9714
0.0000 2.7239 7.4571
2.7239 0.0000 2.4857
2.7239 2.7239 0.0000
0.9962 1.3619 1.2429
1.3619 3.7201 3.7286
1.3619 4.4516 8.7000
1.7277 1.3619 6.2143
3.7201 4.0858 6.2143
4.0858 0.9962 8.7000
4.0858 1.7277 3.7286
4.4516 4.0858 1.2429

***

Record 19
PrSi2Ir (PBE, optimized geometry); E = -111.8 eV/cell; magnetic moment = 0.000 Bohr magnetons per cell; formation energy from raw total energies = -3.47 eV/f.u.
1.0
-2.1572 4.3962 8.0256
2.1572 -4.3962 8.0256
2.1572 4.3962 -8.0256
Pr Si Ir
4 8 4
Cartesian
0.0000 0.0000 3.3034
0.0000 2.1612 0.0000
0.0000 6.6311 0.0000
0.0000 0.0000 12.7478
2.1572 0.0000 1.2068
2.1572 -1.3514 4.8202
0.0000 0.0000 6.7720
2.1572 1.3514 4.8202
0.0000 3.0448 3.2054
0.0000 0.0000 9.2792
0.0000 5.7475 3.2054
0.0000 4.3962 6.8188
2.1572 2.2342 -2.3497
2.1572 2.2342 2.3497
0.0000 2.1619 5.6760
0.0000 2.1619 10.3753

***

Record 20
Zr2ScRh (PBE, optimized geometry); E = -126.5 eV/cell; magnetic moment = 8.865 Bohr magnetons per cell; ΔE_f = -0.212 eV per atom
1.0
6.8199 0.0000 0.0000
0.0000 6.8199 0.0000
0.0000 0.0000 6.8199
Zr Sc Rh
8 4 4
Cartesian
0.0000 0.0000 0.0000
0.0000 3.4100 3.4100
1.7050 1.7050 1.7050
1.7050 5.1149 5.1149
3.4100 0.0000 3.4100
3.4100 3.4100 0.0000
5.1149 1.7050 5.1149
5.1149 5.1149 1.7050
1.7050 1.7050 5.1149
1.7050 5.1149 1.7050
5.1149 1.7050 1.7050
5.1149 5.1149 5.1149
0.0000 0.0000 3.4100
0.0000 3.4100 0.0000
3.4100 0.0000 0.0000
3.4100 3.4100 3.4100